A plane-wave DFT calculation with PBE with a Hubbard U was carried out for an optimized crystal structure of BaMnN2F.

Unit cell a=3.909 b=3.909 c=4.781 alpha=90.00 beta=90.00 gamma=90.00
Fractional coordinates of all 5 atoms:
N (0.000, 0.500, 0.000)
N (0.500, 0.000, 0.000)
Mn (0.000, 0.000, 0.000)
Ba (0.500, 0.500, 0.500)
F (0.000, 0.000, 0.500)

* total magnetic moment: 2.48 μB/f.u.
* DOS at the Fermi energy: 2.609 states/eV/cell
* calculated density: 5.4 Mg/m³
* space group: P4/mmm, No. 123
* distance to the lowest polymorph of the same formula: 0 meV/atom